# 1
The following is a GGA-PBE calculation of a relaxed structure of CaLaPrIn, from Alexandria via LeMat-Bulk.

Lattice parameters (Å, degrees): 8.0499 8.0499 8.0499 90.00 90.00 90.00
Last column: nearest neighbours and their distance in Å.
Element x y z (fractional)
Ca: 0.0000 0.0000 0.0000  4 La 3.49, 4 Pr 3.49
Ca: 0.0000 0.5000 0.5000  4 La 3.49, 4 Pr 3.49
Ca: 0.5000 0.0000 0.5000  4 La 3.49, 4 Pr 3.49
Ca: 0.5000 0.5000 0.0000  4 La 3.49, 4 Pr 3.49
La: 0.2500 0.2500 0.2500  4 In 3.49, 4 Ca 3.49
La: 0.2500 0.7500 0.7500  4 In 3.49, 4 Ca 3.49
La: 0.7500 0.2500 0.7500  4 In 3.49, 4 Ca 3.49
La: 0.7500 0.7500 0.2500  4 In 3.49, 4 Ca 3.49
Pr: 0.2500 0.2500 0.7500  4 In 3.49, 4 Ca 3.49
Pr: 0.2500 0.7500 0.2500  4 In 3.49, 4 Ca 3.49
Pr: 0.7500 0.2500 0.2500  4 In 3.49, 4 Ca 3.49
Pr: 0.7500 0.7500 0.7500  4 In 3.49, 4 Ca 3.49
In: 0.0000 0.0000 0.5000  4 Pr 3.49, 4 La 3.49
In: 0.0000 0.5000 0.0000  4 Pr 3.49, 4 La 3.49
In: 0.5000 0.0000 0.0000  4 Pr 3.49, 4 La 3.49
In: 0.5000 0.5000 0.5000  4 Pr 3.49, 4 La 3.49

Output
* density: 5.54 g/cm³
* magnetization: 0.0 μB per formula unit
* total energy: -3.8231 eV per atom
* energy relative to the elements: -0.8 eV per formula unit
* symmetry: F-43m, No. 216

=====

# 2
The following is a GGA-PBE calculation of a relaxed structure of Sc2BeSe, from Alexandria via LeMat-Bulk.

Lattice parameters (Å, degrees): 6.6197 6.6197 6.6197 90.00 90.00 90.00
Last column: nearest neighbours and their distance in Å.
Element x y z (fractional)
Sc: 0.0000 0.0000 0.0000  4 Be 2.87, 4 Sc 2.87
Sc: 0.0000 0.5000 0.5000  4 Be 2.87, 4 Sc 2.87
Sc: 0.2500 0.2500 0.2500  4 Se 2.87, 4 Sc 2.87
Sc: 0.2500 0.7500 0.7500  4 Se 2.87, 4 Sc 2.87
Sc: 0.5000 0.0000 0.5000  4 Be 2.87, 4 Sc 2.87
Sc: 0.5000 0.5000 0.0000  4 Be 2.87, 4 Sc 2.87
Sc: 0.7500 0.2500 0.7500  4 Se 2.87, 4 Sc 2.87
Sc: 0.7500 0.7500 0.2500  4 Se 2.87, 4 Sc 2.87
Be: 0.2500 0.2500 0.7500  4 Se 2.87, 4 Sc 2.87
Be: 0.2500 0.7500 0.2500  4 Se 2.87, 4 Sc 2.87
Be: 0.7500 0.2500 0.2500  4 Se 2.87, 4 Sc 2.87
Be: 0.7500 0.7500 0.7500  4 Se 2.87, 4 Sc 2.87
Se: 0.0000 0.0000 0.5000  4 Be 2.87, 4 Sc 2.87
Se: 0.0000 0.5000 0.0000  4 Be 2.87, 4 Sc 2.87
Se: 0.5000 0.0000 0.0000  4 Be 2.87, 4 Sc 2.87
Se: 0.5000 0.5000 0.5000  4 Sc 2.87, 4 Be 2.87

Output
* density: 4.07 g/cm³
* formation energy (no corrections): 81 kJ/mol of formula units
* magnetization: 0.0 μB per formula unit
* total energy: -4.7597 eV per atom
* symmetry: F-43m, No. 216

=====

# 3
The following is a GGA-PBE calculation of a relaxed structure of NbPdS3, from Alexandria via LeMat-Bulk.

Lattice parameters (Å, degrees): 6.9797 6.9797 6.8598 90.00 90.00 145.52
Last column: nearest neighbours and their distance in Å.
Element x y z (fractional)
Nb: 0.2036 0.7964 0.7500  7 S 2.43-2.60
Nb: 0.7964 0.2036 0.2500  7 S 2.43-2.60
Pd: 0.4303 0.5697 0.7500  4 S 2.35-2.40
Pd: 0.5697 0.4303 0.2500  4 S 2.35-2.40
S: 0.0213 0.9787 0.7500  2 Pd 2.40, 1 Nb 2.43
S: 0.3274 0.6726 0.0289  1 Pd 2.35, 3 Nb 2.53-2.60
S: 0.3274 0.6726 0.4711  1 Pd 2.35, 3 Nb 2.53-2.60
S: 0.6726 0.3274 0.5289  1 Pd 2.35, 3 Nb 2.53-2.60
S: 0.6726 0.3274 0.9711  1 Pd 2.35, 3 Nb 2.53-2.60
S: 0.9787 0.0213 0.2500  2 Pd 2.40, 1 Nb 2.43

Output
* density: 5.19 g/cm³
* formation energy (no corrections): -224 kJ/mol of formula units
* magnetization: 0.0 μB per formula unit
* total energy: -5.9937 eV per atom
* symmetry: Cmcm, No. 63

=====

# 4
The following is a GGA-PBE calculation of a relaxed structure of U4P5C, from Alexandria via LeMat-Bulk.

Lattice parameters (Å, degrees): 8.9127 8.9127 8.9127 154.79 138.66 49.04
Last column: nearest neighbours and their distance in Å.
Element x y z (fractional)
U: 0.1827 0.1827 0.0000  6 P 2.75-2.80, 1 C 2.96
U: 0.2084 0.5000 0.7084  2 C 2.35, 1 U 2.62
U: 0.7916 0.5000 0.2916  2 C 2.35, 1 U 2.62
U: 0.8173 0.8173 0.0000  6 P 2.75-2.80, 1 C 2.96
P: 0.1522 0.3362 0.8160  1 P 2.31
P: 0.4799 0.6638 0.8160  1 P 2.31
P: 0.5000 0.0000 0.5000  4 U 2.67
P: 0.5201 0.3362 0.1840  1 P 2.31
P: 0.8478 0.6638 0.1840  1 P 2.31
C: 0.0000 0.0000 0.0000  4 U 2.35

Output
* density: 9.36 g/cm³
* magnetization: 4.3 μB per formula unit
* total energy: -8.5379 eV per atom
* energy relative to the elements: -4.0 eV per formula unit
* symmetry: Immm, No. 71

=====

# 5
The following is a GGA-PBE calculation of a relaxed structure of Ac3TlIrAu, from Alexandria via LeMat-Bulk.

Lattice parameters (Å, degrees): 8.2107 4.4210 11.2195 90.00 94.67 90.00
Last column: nearest neighbours and their distance in Å.
Element x y z (fractional)
Ac: 0.0938 0.2500 0.3686  3 Ir 3.01-3.02
Ac: 0.1882 0.2500 0.9035  1 Ir 2.98, 3 Au 3.21-3.32
Ac: 0.3974 0.7500 0.6403  2 Ir 2.96, 1 Au 3.09
Ac: 0.6026 0.2500 0.3597  2 Ir 2.96, 1 Au 3.09
Ac: 0.8118 0.7500 0.0965  1 Ir 2.98, 3 Au 3.21-3.32
Ac: 0.9062 0.7500 0.6314  3 Ir 3.01-3.02
Tl: 0.2870 0.7500 0.1662  3 Au 3.15-3.31
Tl: 0.7130 0.2500 0.8338  3 Au 3.15-3.31
Ir: 0.1567 0.2500 0.6366  6 Ac 2.96-3.02
Ir: 0.8433 0.7500 0.3634  6 Ac 2.96-3.02
Au: 0.4718 0.7500 0.9145  2 Au 2.94, 3 Ac 3.09-3.21, 2 Tl 3.15
Au: 0.5282 0.2500 0.0855  2 Au 2.94, 3 Ac 3.09-3.21, 2 Tl 3.15

Output
* density: 10.43 g/cm³
* magnetization: 0.0 μB per formula unit
* total energy: -5.0385 eV per atom
* energy relative to the elements: -3.4 eV per formula unit
* symmetry: P2_1/m, No. 11

=====

# 6
The following is a GGA-PBE calculation of a relaxed structure of Na3BAs, from Alexandria via LeMat-Bulk.

Lattice parameters (Å, degrees): 4.9997 4.9997 4.9997 90.00 90.00 90.00
Last column: nearest neighbours and their distance in Å.
Element x y z (fractional)
Na: 0.0000 0.0000 0.5000  2 B 2.50
Na: 0.0000 0.5000 0.0000  2 B 2.50
Na: 0.5000 0.0000 0.0000  2 B 2.50
B: 0.0000 0.0000 0.0000  6 Na 2.50
As: 0.5000 0.5000 0.5000  12 Na 3.54

Output
* density: 2.06 g/cm³
* magnetization: 1.0 μB per formula unit
* total energy: -2.2839 eV per atom
* energy relative to the elements: 3.9 eV per formula unit
* symmetry: Pm-3m, No. 221

=====

# 7
The following is a GGA-PBE calculation of a relaxed structure of Ir5C, from Alexandria via LeMat-Bulk.

Lattice parameters (Å, degrees): 5.0628 5.0628 4.4725 90.00 90.00 120.00
Last column: nearest neighbours and their distance in Å.
Element x y z (fractional)
Ir: 0.0000 0.5000 0.0000  8 Ir 2.53-2.67
Ir: 0.3333 0.6667 0.5000  9 Ir 2.67-2.92, 3 C 2.92
Ir: 0.5000 0.0000 0.0000  8 Ir 2.53-2.67
Ir: 0.5000 0.5000 0.0000  8 Ir 2.53-2.67
Ir: 0.6667 0.3333 0.5000  9 Ir 2.67-2.92, 3 C 2.92
C: 0.0000 0.0000 0.5000  6 Ir 2.92

Output
* density: 16.28 g/cm³
* magnetization: 0.0 μB per formula unit
* total energy: -7.2398 eV per atom
* energy relative to the elements: 10.1 eV per formula unit
* symmetry: P6/mmm, No. 191

=====

# 8
The following is a GGA-PBE calculation of a relaxed structure of TcMoPtW, from Alexandria via LeMat-Bulk.

Lattice parameters (Å, degrees): 3.9182 3.9480 3.9715 90.00 90.00 90.00
Last column: nearest neighbours and their distance in Å.
Element x y z (fractional)
Tc: 0.0000 0.0000 0.0000  4 Mo 2.78, 4 W 2.79, 4 Pt 2.80
Mo: 0.5000 0.5000 0.0000  4 Tc 2.78, 4 Pt 2.79, 4 W 2.80
Pt: 0.0000 0.5000 0.5000  4 W 2.78, 4 Mo 2.79, 4 Tc 2.80
W: 0.5000 0.0000 0.5000  4 Pt 2.78, 4 Tc 2.79, 4 Mo 2.80

Output
* density: 15.48 g/cm³
* magnetization: 0.0 μB per formula unit
* total energy: -10.2008 eV per atom
* energy relative to the elements: -0.6 eV per formula unit
* symmetry: Pmmm, No. 47

=====

# 9
The following is a GGA-PBE calculation of a relaxed structure of Ac3Tl2SnPd9, from Alexandria via LeMat-Bulk.

Lattice parameters (Å, degrees): 7.0102 7.0102 9.3694 90.00 90.00 120.00
Last column: nearest neighbours and their distance in Å.
Element x y z (fractional)
Ac: 0.0000 0.0000 0.0000  6 Pd 3.02
Ac: 0.3333 0.6667 0.7420  3 Pd 3.15
Ac: 0.6667 0.3333 0.2580  3 Pd 3.15
Tl: 0.3333 0.6667 0.1962  6 Pd 2.58-2.73
Tl: 0.6667 0.3333 0.8038  6 Pd 2.58-2.73
Sn: 0.0000 0.0000 0.5000  6 Pd 2.63
Pd: 0.0000 0.5000 0.0000  2 Tl 2.73
Pd: 0.1300 0.2599 0.2749  1 Tl 2.58, 1 Sn 2.63, 2 Pd 2.73
Pd: 0.1300 0.8700 0.2749  1 Tl 2.58, 1 Sn 2.63, 2 Pd 2.73
Pd: 0.2599 0.1300 0.7251  1 Tl 2.58, 1 Sn 2.63, 2 Pd 2.73
Pd: 0.5000 0.0000 0.0000  2 Tl 2.73
Pd: 0.5000 0.5000 0.0000  2 Tl 2.73
Pd: 0.7401 0.8700 0.2749  1 Tl 2.58, 1 Sn 2.63, 2 Pd 2.73
Pd: 0.8700 0.1300 0.7251  1 Tl 2.58, 1 Sn 2.63, 2 Pd 2.73
Pd: 0.8700 0.7401 0.7251  1 Tl 2.58, 1 Sn 2.63, 2 Pd 2.73

Output
* density: 9.02 g/cm³
* magnetization: 0.0 μB per formula unit
* total energy: -4.8849 eV per atom
* energy relative to the elements: -5.5 eV per formula unit
* symmetry: P-3m1, No. 164

=====

# 10
The following is a GGA-PBE calculation of a relaxed structure of TiCu3B, from Alexandria via LeMat-Bulk.

Lattice parameters (Å, degrees): 3.9552 3.9552 3.9552 90.00 90.00 90.00
Last column: nearest neighbours and their distance in Å.
Element x y z (fractional)
Ti: 0.0000 0.0000 0.0000  12 Cu 2.80
Cu: 0.0000 0.5000 0.5000  2 B 1.98
Cu: 0.5000 0.0000 0.5000  2 B 1.98
Cu: 0.5000 0.5000 0.0000  2 B 1.98
B: 0.5000 0.5000 0.5000  6 Cu 1.98

Output
* density: 6.69 g/cm³
* magnetization: 0.0 μB per formula unit
* total energy: -5.2111 eV per atom
* energy relative to the elements: 0.8 eV per formula unit
* symmetry: Pm-3m, No. 221

=====

# 11
The following is a GGA-PBE calculation of a relaxed structure of AlFeAg2, from Alexandria via LeMat-Bulk.

Lattice parameters (Å, degrees): 2.9822 4.5790 4.6308 90.00 90.00 90.00
Last column: nearest neighbours and their distance in Å.
Element x y z (fractional)
Al: 0.0000 0.0000 0.0000  4 Fe 2.73, 4 Ag 2.75, 2 Al 2.98
Fe: 0.5000 0.5000 0.0000  4 Al 2.73, 4 Ag 2.75, 2 Fe 2.98
Ag: 0.0000 0.5000 0.5000  6 Ag 2.73-2.98, 4 Fe 2.75
Ag: 0.5000 0.0000 0.5000  6 Ag 2.73-2.98, 4 Al 2.75

Output
* density: 7.84 g/cm³
* magnetization: 2.4 μB per formula unit
* total energy: -4.3179 eV per atom
* energy relative to the elements: 0.6 eV per formula unit
* symmetry: Pmmm, No. 47

=====

# 12
The following is a GGA-PBE calculation of a relaxed structure of Ca2CrW, from Alexandria via LeMat-Bulk.

Lattice parameters (Å, degrees): 5.5044 5.5044 3.1417 90.00 90.00 90.00
Last column: nearest neighbours and their distance in Å.
Element x y z (fractional)
Ca: 0.0000 0.5000 0.0000  2 Ca 3.14, 4 Cr 3.17, 4 W 3.17
Ca: 0.5000 0.0000 0.0000  2 Ca 3.14, 4 Cr 3.17, 4 W 3.17
Cr: 0.0000 0.0000 0.5000  2 Cr 3.14, 8 Ca 3.17
W: 0.5000 0.5000 0.5000  2 W 3.14, 8 Ca 3.17

Output
* density: 5.51 g/cm³
* magnetization: 3.3 μB per formula unit
* total energy: -5.4839 eV per atom
* energy relative to the elements: 4.6 eV per formula unit
* symmetry: P4/mmm, No. 123